Record 1
LiMoP2: relaxed, PBE.

Summary:
formation energy = -23.5 kJ/mol of atoms
mass density = 4.4 g cm⁻³
E above lowest polymorph = 179 meV per atom

Cell: 7.8680 3.1583 5.2368 Å, 90.00 106.24 90.00°
Space group C2/m (No. 12)
Symmetry-distinct sites (fractional):
1 Li 0.0000 0.0000 0.0000 x2
2 Mo 0.0000 0.5000 0.5000 x2
3 P 0.2411 0.0000 0.6842 x4

---

Record 2
Li2MoP: relaxed, PBE.

Summary:
formation energy = 3.4 kJ/mol of atoms
mass density = 4.1 g cm⁻³

Cell: 2.5649 2.5649 8.6750 Å, 90.00 90.00 90.00°
Space group P4/mmm (No. 123)
Symmetry-distinct sites (fractional):
1 Li 0.0000 0.0000 0.2196 x2
2 Mo 0.5000 0.5000 0.5000 x1
3 P 0.5000 0.5000 0.0000 x1

---

Record 3
Li2MoP: relaxed, PBE.

Summary:
formation energy = -7.1 kJ/mol of atoms
mass density = 4.2 g cm⁻³

Cell: 3.4752 3.4752 9.1301 Å, 90.00 90.00 90.00°
Space group I4/mmm (No. 139)
Symmetry-distinct sites (fractional):
1 Li 0.0000 0.5000 0.2500 x4
2 Mo 0.0000 0.0000 0.0000 x2
3 P 0.0000 0.0000 0.5000 x2

---

Record 4
LiMoP2: relaxed, PBE.

Summary:
formation energy = -22.6 kJ/mol of atoms
mass density = 5.2 g cm⁻³
E above lowest polymorph = 190 meV per atom

Cell: 3.4909 4.3609 6.9243 Å, 90.00 90.00 90.00°
Space group Immm (No. 71)
Symmetry-distinct sites (fractional):
1 Li 0.0000 0.0000 0.0000 x2
2 Mo 0.0000 0.0000 0.5000 x2
3 P 0.0000 0.5000 0.2646 x4

---

Record 5
LiMo2P: relaxed, PBE.

Summary:
formation energy = 11.3 kJ/mol of atoms
mass density = 6.8 g cm⁻³

Cell: 2.7675 3.9163 5.2485 Å, 90.00 101.15 90.00°
Space group P2/m (No. 10)
Symmetry-distinct sites (fractional):
1 Li 0.0000 0.0000 0.0000 x1
2 Mo 0.2922 0.5000 0.7517 x2
3 P 0.5000 0.0000 0.5000 x1

---

Record 6
Li2MoP: relaxed, PBE.

Summary:
formation energy = -16.7 kJ/mol of atoms
mass density = 4.3 g cm⁻³

Cell: 2.8873 4.0067 9.4984 Å, 90.00 90.00 90.00°
Space group Immm (No. 71)
Symmetry-distinct sites (fractional):
1 Li 0.0000 0.0000 0.2232 x4
2 Mo 0.0000 0.5000 0.0000 x2
3 P 0.0000 0.5000 0.5000 x2

---

- Among the records above, which one has the lowest formation energy?
  number 1